(1)
DyU2Se4: relaxed, PBE.

```
DyU2Se4
1.0
1.943 -6.723 0.000
1.943 6.723 0.000
0.000 0.000 14.059
Dy U Se
2 4 8
Cartesian
1.943 5.173 10.544
1.943 -5.173 3.515
1.943 1.872 7.956
1.943 1.872 13.133
1.943 -1.872 0.926
1.943 -1.872 6.103
0.000 0.000 0.000
0.000 0.000 7.030
1.943 2.892 1.805
1.943 2.892 5.225
1.943 0.574 10.544
1.943 -0.574 3.515
1.943 -2.892 8.834
1.943 -2.892 12.254
```

- crystal system = orthorhombic
- relative energy among the computed polymorphs (eV per atom) = 0.065
- uncorrected formation energy (eV/atom) = -1.266
- total moment (μB per atom) = 0.90
- symmetry = Cmcm


(2)
DyVSe: relaxed, PBE.

```
DyVSe
1.0
5.331 -1.763 0.000
5.331 1.763 0.000
-3.301 0.000 6.318
Dy V Se
2 2 2
Cartesian
-0.346 0.000 1.872
7.707 0.000 4.446
0.272 0.000 5.967
7.089 0.000 0.352
2.521 0.000 1.977
4.840 0.000 4.341
```

- crystal system = monoclinic
- uncorrected formation energy (eV/atom) = -0.720
- total moment (μB per atom) = 0.00
- symmetry = C2/m


(3)
DyVSe3: relaxed, PBE.

```
DyVSe3
1.0
7.374 0.000 0.000
0.000 3.894 0.000
-1.155 0.000 7.789
Dy V Se
2 2 6
Cartesian
0.502 0.973 2.244
5.718 2.920 5.545
1.714 2.920 6.728
4.506 0.973 1.061
-0.031 0.973 7.051
0.967 2.920 4.281
2.860 2.920 1.451
3.359 0.973 6.339
5.253 0.973 3.509
6.250 2.920 0.738
```

- crystal system = monoclinic
- uncorrected formation energy (eV/atom) = -1.224
- total moment (μB per atom) = 0.40
- symmetry = P2_1/m


(4)
DyW4Se8: relaxed, PBE.

```
DyW4Se8
1.0
3.397 1.961 7.325
-3.397 1.961 7.325
0.000 -3.922 7.325
Dy W Se
1 4 8
Cartesian
0.000 0.000 0.000
-3.397 0.000 10.988
-1.698 0.981 3.663
1.698 0.981 3.663
0.000 0.000 10.988
0.000 0.000 5.345
-1.661 -0.959 12.684
0.000 -1.918 9.292
-1.661 0.959 9.292
1.661 -0.959 12.684
0.000 1.918 12.684
1.661 0.959 9.292
0.000 0.000 16.632
```

- crystal system = trigonal
- uncorrected formation energy (eV/atom) = -0.318
- total moment (μB per atom) = 0.00
- symmetry = R-3m


(5)
Dy6YSe8: relaxed, PBE.

```
Dy6YSe8
1.0
0.000 5.743 5.743
5.743 0.000 5.743
5.743 5.743 0.000
Dy Y Se
6 1 8
Cartesian
2.872 2.872 0.000
2.872 0.000 2.872
5.743 2.872 2.872
0.000 2.872 2.872
2.872 5.743 2.872
2.872 2.872 5.743
0.000 0.000 0.000
2.872 2.872 2.872
5.743 5.743 2.916
5.743 2.916 5.743
8.571 5.743 5.743
2.916 5.743 5.743
5.743 8.571 5.743
5.743 5.743 8.571
8.615 8.615 8.615
```

- crystal system = cubic
- relative energy among the computed polymorphs (eV per atom) = 0.000
- uncorrected formation energy (eV/atom) = -1.835
- total moment (μB per atom) = 0.00
- symmetry = Fm-3m


(6)
Dy3Y2Se8: relaxed, PBE.

```
Dy3Y2Se8
1.0
7.144 -4.103 0.000
7.144 4.103 0.000
-2.326 0.000 6.589
Dy Y Se
3 2 8
Cartesian
0.000 0.000 0.000
5.981 1.960 3.295
5.981 -1.960 3.295
1.732 0.000 5.519
10.230 0.000 1.070
5.183 2.138 0.568
0.708 0.000 2.789
6.780 2.138 6.021
4.054 0.000 3.897
7.909 0.000 2.692
5.183 -2.138 0.568
11.255 0.000 3.801
6.780 -2.138 6.021
```

- crystal system = monoclinic
- uncorrected formation energy (eV/atom) = -1.713
- total moment (μB per atom) = 0.00
- symmetry = C2/m


| no. | V (A^3/atom) |
| --- | --- |
| 1 | 26.2 |
| 2 | 19.8 |
| 3 | 22.4 |
| 4 | 22.5 |
| 5 | 25.3 |
| 6 | 29.7 |